Below is crystalline SmErTmCd at its relaxed geometry, with properties calculated at the PBE level.

* energy of formation from the pure elements: -0.15 eV/atom
* energy relative to the lowest polymorph listed for this composition: 0 meV per atom
* D(E_F): 4.1 states/eV/cell
* total energy: -3.82 eV/atom

Unit cell a=3.5764 b=3.5764 c=9.0166 alpha=90.00 beta=90.00 gamma=90.00
Fractional coordinates of all 4 atoms:
1 Er 0.5000 0.5000 0.7943
2 Tm 0.5000 0.5000 0.3484
3 Sm 0.0000 0.0000 0.0720
4 Cd 0.0000 0.0000 0.5699